(1)
## KSiRuO6 (PBE)

Data for a relaxed KSiRuO6 crystal.

The structure in POSCAR format:
```
KSiRuO6
1.0
4.9814 0.0000 0.0000
-2.4907 4.3140 0.0000
0.0000 0.0000 6.0428
K Si Ru O
1 1 1 6
Direct
0.0000 0.0000 0.0000 K
0.6667 0.3333 0.5000 Si
0.3333 0.6667 0.5000 Ru
0.4066 0.0162 0.6742 O
0.4066 0.3904 0.3258 O
0.6096 0.0162 0.3258 O
0.6096 0.5934 0.6742 O
0.9838 0.3904 0.6742 O
0.9838 0.5934 0.3258 O
```

Calculated values
Formation energy without anion corrections ... -1293 kJ/mol of formula units
V ... 14.43 Å³ per atom
Magnetization ... 0.93 Bohr magnetons per cell
Calculated total energy ... -6.550 eV/atom

(2)
## ZnFeRh (PBE)

Data for a relaxed ZnFeRh crystal.

The structure in POSCAR format:
```
ZnFeRh
1.0
0.0000 2.2254 6.4096
1.4260 0.0000 6.4096
1.4260 2.2254 0.0000
Zn Fe Rh
1 1 1
Direct
0.0000 0.0000 0.0000 Zn
0.6654 0.6654 0.3346 Fe
0.3296 0.3296 0.6704 Rh
```

Calculated values
V ... 13.56 Å³ per atom
Relative energy among the computed polymorphs ... 145.9 meV per atom
Magnetization ... 2.89 Bohr magnetons per cell
Calculated total energy ... -5.694 eV/atom

(3)
## MgB3W (PBE)

Data for a relaxed MgB3W crystal.

The structure in POSCAR format:
```
MgB3W
1.0
4.1792 0.0000 0.0000
0.0000 4.1792 0.0000
0.0000 0.0000 4.1792
Mg B W
1 3 1
Direct
0.0000 0.0000 0.0000 Mg
0.0000 0.5000 0.5000 B
0.5000 0.0000 0.5000 B
0.5000 0.5000 0.0000 B
0.5000 0.5000 0.5000 W
```

Calculated values
V ... 14.60 Å³ per atom
Relative energy among the computed polymorphs ... 0.0 meV per atom
Magnetization ... 0.00 Bohr magnetons per cell
Calculated total energy ... -5.961 eV/atom

(4)
## Sr2TmOsO8 (PBE)

Data for a relaxed Sr2TmOsO8 crystal.

The structure in POSCAR format:
```
Sr2TmOsO8
1.0
5.0759 0.0000 0.0000
0.0275 5.4387 0.0000
0.0155 0.0095 6.7187
Sr Tm Os O
2 1 1 8
Direct
0.0010 0.0000 0.2431 Sr
0.9990 0.0000 0.7569 Sr
0.5000 0.5000 0.5000 Tm
0.5000 0.5000 0.0000 Os
0.2864 0.3749 0.7918 O
0.2860 0.3762 0.2097 O
0.2922 0.8506 0.5002 O
0.3041 0.7862 0.9992 O
0.6959 0.2138 0.0008 O
0.7078 0.1494 0.4998 O
0.7140 0.6238 0.7903 O
0.7136 0.6251 0.2082 O
```

Calculated values
Formation energy without anion corrections ... -2248 kJ/mol of formula units
V ... 15.46 Å³ per atom
Magnetization ... 1.06 Bohr magnetons per cell
Calculated total energy ... -6.836 eV/atom

(5)
## Zn2NiOs (PBE)

Data for a relaxed Zn2NiOs crystal.

The structure in POSCAR format:
```
Zn2NiOs
1.0
1.4047 -2.2448 0.0000
1.4047 2.2448 0.0000
0.0000 0.0000 8.5459
Zn Ni Os
2 1 1
Direct
0.0000 0.0000 0.2348 Zn
0.0000 0.0000 0.7652 Zn
0.5000 0.5000 0.0000 Ni
0.5000 0.5000 0.5000 Os
```

Calculated values
V ... 13.47 Å³ per atom
Magnetization ... 0.00 Bohr magnetons per cell
Calculated total energy ... -4.782 eV/atom

(6)
## CoTcOs2 (PBE)

Data for a relaxed CoTcOs2 crystal.

The structure in POSCAR format:
```
CoTcOs2
1.0
2.0558 1.1869 3.9422
-2.0558 1.1869 3.9422
0.0000 -2.3738 3.9422
Co Tc Os
1 1 2
Direct
0.0000 0.0000 0.0000 Co
0.7859 0.7859 0.7859 Tc
0.3412 0.3412 0.3412 Os
0.5642 0.5642 0.5642 Os
```

Calculated values
V ... 14.43 Å³ per atom
Relative energy among the computed polymorphs ... 327.2 meV per atom
Magnetization ... 0.00 Bohr magnetons per cell
Calculated total energy ... -9.555 eV/atom

(7)
## PmEr3Cu (PBE)

Data for a relaxed PmEr3Cu crystal.

The structure in POSCAR format:
```
PmEr3Cu
1.0
5.3381 0.0000 0.0000
0.0000 5.3381 0.0000
0.0000 0.0000 5.3381
Pm Er Cu
1 3 1
Direct
0.0000 0.0000 0.0000 Pm
0.0000 0.5000 0.5000 Er
0.5000 0.0000 0.5000 Er
0.5000 0.5000 0.0000 Er
0.5000 0.5000 0.5000 Cu
```

Calculated values
V ... 30.42 Å³ per atom
Magnetization ... 0.00 Bohr magnetons per cell
Calculated total energy ... -4.431 eV/atom

(8)
## KSiTe2 (PBE)

Data for a relaxed KSiTe2 crystal.

The structure in POSCAR format:
```
KSiTe2
1.0
6.8163 0.0000 0.0000
1.5981 6.7872 0.0000
0.5552 3.4481 12.5018
K Si Te
4 4 8
Direct
0.0985 0.1759 0.3475 K
0.1746 0.6972 0.0805 K
0.8254 0.3028 0.9195 K
0.9015 0.8241 0.6525 K
0.3477 0.0063 0.8591 Si
0.4127 0.3468 0.6123 Si
0.5873 0.6532 0.3877 Si
0.6523 0.9937 0.1409 Si
0.2260 0.6004 0.4431 Te
0.2781 0.1664 0.0847 Te
0.3279 0.4128 0.7940 Te
0.3749 0.9873 0.6428 Te
0.6251 0.0127 0.3572 Te
0.6721 0.5872 0.2060 Te
0.7219 0.8336 0.9153 Te
0.7740 0.3996 0.5569 Te
```

Calculated values
Formation energy without anion corrections ... -159 kJ/mol of formula units
V ... 36.15 Å³ per atom
Magnetization ... 0.00 Bohr magnetons per cell
Calculated total energy ... -3.612 eV/atom

> Which formula does entry 8 have?

KSiTe2

> V of number 8 (KSiTe2)?

36.15 Å³ per atom

> Look up the magnetization of the third one.

0.00 Bohr magnetons per cell